# 1
Computed, not measured: a geometry-optimized Ca2NiOsPt structure at the PBEsol level of DFT.

Values from the calculation:
The energy of formation comes out at 619 meV per atom. The electronic total energy is -5.30 eV/atom. The crystal system is tetragonal. As for the calculated volume: 21.665 Å³ per atom. Its space group is No. 123.

a b c (Å): 4.3432 4.9941 4.9941
angles (deg): 90.00 90.00 90.00
Sites, in units of the cell vectors:
Os: 0.5000 0.0000 0.0000
Ni: 0.0000 0.0000 0.0000
Ca: 0.0000 0.0000 0.5000
Ca: 0.0000 0.5000 0.0000
Pt: 0.5000 0.5000 0.5000

# 2
Computed, not measured: a geometry-optimized CaNiP2 structure at the PBEsol level of DFT.

Values from the calculation:
The energy of formation comes out at -109 meV per atom. The electronic total energy is -5.08 eV/atom. The crystal system is tetragonal. As for the calculated volume: 15.682 Å³ per atom. Its space group is No. 139.

a b c (Å): 4.4396 4.4702 4.4396
angles (deg): 119.77 90.00 119.77
Sites, in units of the cell vectors:
Ni: 0.0000 0.0000 0.0000
P: 0.7500 0.5000 0.2500
P: 0.2500 0.5000 0.7500
Ca: 0.5000 0.0000 0.5000

# 3
Computed, not measured: a geometry-optimized CaNi2P structure at the PBEsol level of DFT.

Values from the calculation:
The energy of formation comes out at -667 meV per atom. The electronic total energy is -5.73 eV/atom. The crystal system is hexagonal. As for the calculated volume: 15.520 Å³ per atom. Its space group is No. 194.

a b c (Å): 3.8612 3.8612 9.6159
angles (deg): 90.00 90.00 120.00
Sites, in units of the cell vectors:
Ca: 0.6667 0.3333 0.2500
Ca: 0.3333 0.6667 0.7500
P: 0.0000 0.0000 0.5000
P: 0.0000 0.0000 0.0000
Ni: 0.3333 0.6667 0.4553
Ni: 0.3333 0.6667 0.0447
Ni: 0.6667 0.3333 0.9553
Ni: 0.6667 0.3333 0.5447

# 4
Computed, not measured: a geometry-optimized CaNiP2 structure at the PBEsol level of DFT.

Values from the calculation:
The energy of formation comes out at -187 meV per atom. The electronic total energy is -5.16 eV/atom. The crystal system is tetragonal. As for the calculated volume: 15.205 Å³ per atom. Its space group is No. 123.

a b c (Å): 3.7502 4.0287 4.0255
angles (deg): 90.00 90.00 90.00
Sites, in units of the cell vectors:
Ca: 0.5000 0.5000 0.0000
P: 0.0000 0.0000 0.0000
P: 0.0000 0.5000 0.5000
Ni: 0.5000 0.0000 0.5000

# 5
Computed, not measured: a geometry-optimized Ca2Ni7P4 structure at the PBEsol level of DFT.

Values from the calculation:
The energy of formation comes out at -808 meV per atom. The electronic total energy is -6.23 eV/atom. The crystal system is orthorhombic. As for the calculated volume: 12.989 Å³ per atom. Its space group is No. 31.

a b c (Å): 3.6359 9.0760 10.2340
angles (deg): 90.00 90.00 90.00
Sites, in units of the cell vectors:
Ni: 0.5000 0.4405 0.2008
Ni: 0.0000 0.9156 0.8716
Ni: 0.5000 0.7524 0.7735
Ni: 0.5000 0.0844 0.3716
Ni: 0.0000 0.5957 0.0963
Ni: 0.0000 0.1843 0.9136
Ni: 0.5000 0.7721 0.0084
Ni: 0.5000 0.1953 0.1009
Ni: 0.5000 0.8157 0.4136
Ni: 0.0000 0.2279 0.5084
Ni: 0.0000 0.2476 0.2735
Ni: 0.5000 0.4043 0.5963
Ni: 0.0000 0.5595 0.7008
Ni: 0.0000 0.8047 0.6009
P: 0.5000 0.6559 0.5835
P: 0.5000 0.3194 0.3921
P: 0.0000 0.3441 0.0835
P: 0.0000 0.3120 0.7125
P: 0.0000 0.6806 0.8921
P: 0.5000 0.6880 0.2125
P: 0.0000 0.9781 0.4583
P: 0.5000 0.0219 0.9583
Ca: 0.5000 0.4398 0.8950
Ca: 0.0000 0.5602 0.3950
Ca: 0.0000 0.9387 0.1776
Ca: 0.5000 0.0613 0.6776

# 6
Computed, not measured: a geometry-optimized CaNiP2 structure at the PBEsol level of DFT.

Values from the calculation:
The energy of formation comes out at 65 meV per atom. The electronic total energy is -4.90 eV/atom. The crystal system is cubic. As for the calculated volume: 15.658 Å³ per atom. Its space group is No. 216.

a b c (Å): 4.4576 4.4576 4.4576
angles (deg): 60.00 60.00 60.00
Sites, in units of the cell vectors:
P: 0.7500 0.7500 0.7500
P: 0.0000 0.0000 0.0000
Ni: 0.2500 0.2500 0.2500
Ca: 0.5000 0.5000 0.5000

# 7
Computed, not measured: a geometry-optimized Ca2NiP structure at the PBEsol level of DFT.

Values from the calculation:
The energy of formation comes out at -202 meV per atom. The electronic total energy is -4.26 eV/atom. The crystal system is orthorhombic. As for the calculated volume: 21.919 Å³ per atom. Its space group is No. 25.

a b c (Å): 3.3119 4.6586 5.6826
angles (deg): 90.00 90.00 90.00
Sites, in units of the cell vectors:
Ca: 0.0000 0.0000 0.8897
Ca: 0.5000 0.5000 0.3597
Ni: 0.0000 0.0000 0.3924
P: 0.5000 0.5000 0.8582

# 8
Computed, not measured: a geometry-optimized Ca2NiP structure at the PBEsol level of DFT.

Values from the calculation:
The energy of formation comes out at -703 meV per atom. The electronic total energy is -4.76 eV/atom. The crystal system is orthorhombic. As for the calculated volume: 21.045 Å³ per atom. Its space group is No. 38.

a b c (Å): 4.0602 4.2625 5.3105
angles (deg): 113.66 90.00 90.00
Sites, in units of the cell vectors:
Ca: 0.0000 0.1047 0.2093
Ca: 0.5000 0.3944 0.7887
P: 0.5000 0.7008 0.4016
Ni: 0.0000 0.7925 0.5850